# PBE with a Hubbard U CrIn2PbF8, relaxed
data_CrIn2PbF8
_chemical_formula_sum 'Cr1 In2 Pb1 F8'
_space_group_name_H-M_alt 'P -1'
_space_group_IT_number 2
_space_group_name_Hall '-P 1'
_cell_length_a 5.588
_cell_length_b 5.679
_cell_length_c 6.418
_cell_angle_alpha 91.57
_cell_angle_beta 91.22
_cell_angle_gamma 94.52
loop_
_atom_site_label
_atom_site_type_symbol
_atom_site_fract_x
_atom_site_fract_y
_atom_site_fract_z
Cr1 Cr 0.000 0.000 0.000
In1 In 0.457 0.545 0.216
Pb1 Pb 0.000 0.000 0.500
F1 F 0.149 0.765 0.177
F2 F 0.152 0.249 0.211
F3 F 0.322 0.120 0.755
F4 F 0.326 0.621 0.539
# density of states at the Fermi level = 0.00 states/eV/cell
# spin magnetization = 4.00 μB/f.u.
# energy = -59.64 eV/cell